No. 1
Ac5In2Te2: relaxed, PBE-GGA.

a b c (Å): 9.611 9.611 8.863
angles (deg): 90.00 90.00 54.71
Fractional coordinates of all 18 atoms:
Ac: 0.000 0.000 0.000
Ac: 0.031 0.690 0.665
Ac: 0.190 0.531 0.165
Ac: 0.310 0.969 0.665
Ac: 0.469 0.810 0.165
Ac: 0.500 0.500 0.500
Ac: 0.531 0.190 0.835
Ac: 0.690 0.031 0.335
Ac: 0.810 0.469 0.835
Ac: 0.969 0.310 0.335
In: 0.124 0.876 0.379
In: 0.376 0.624 0.879
In: 0.624 0.376 0.121
In: 0.876 0.124 0.621
Te: 0.199 0.199 0.000
Te: 0.301 0.301 0.500
Te: 0.699 0.699 0.500
Te: 0.801 0.801 0.000

Properties
DFT total energy: -39.88 eV/f.u.
D(E_F): 20.7 states/eV/cell
uncorrected formation energy: -0.84 eV/atom

---

No. 2
AcIn2Te: relaxed, PBE-GGA.

a b c (Å): 4.225 4.225 7.009
angles (deg): 90.00 90.00 90.00
Fractional coordinates of all 4 atoms:
Ac: 0.000 0.000 0.000
In: 0.500 0.500 0.281
In: 0.500 0.500 0.719
Te: 0.000 0.000 0.500

Properties
DFT total energy: -14.23 eV/f.u.
D(E_F): 3.5 states/eV/cell
excess energy over the best structure of this formula in the dataset: 232 meV/atom
uncorrected formation energy: -0.38 eV/atom

---

No. 3
AcIn2Te: relaxed, PBE-GGA.

a b c (Å): 4.795 4.795 5.322
angles (deg): 90.00 90.00 90.00
Fractional coordinates of all 4 atoms:
Ac: 0.000 0.000 0.000
In: 0.000 0.500 0.500
In: 0.500 0.000 0.500
Te: 0.500 0.500 0.000

Properties
DFT total energy: -15.16 eV/f.u.
D(E_F): 2.7 states/eV/cell
excess energy over the best structure of this formula in the dataset: 0 meV/atom
uncorrected formation energy: -0.61 eV/atom

---

No. 4
Ac2In2Te7: relaxed, PBE-GGA.

a b c (Å): 8.182 8.182 6.320
angles (deg): 92.91 92.91 83.32
Fractional coordinates of all 11 atoms:
Ac: 0.236 0.764 0.000
Ac: 0.764 0.236 0.000
In: 0.250 0.250 0.512
In: 0.750 0.750 0.488
Te: 0.000 0.000 0.500
Te: 0.026 0.488 0.240
Te: 0.471 0.471 0.746
Te: 0.488 0.026 0.240
Te: 0.512 0.974 0.760
Te: 0.529 0.529 0.254
Te: 0.974 0.512 0.760

Properties
DFT total energy: -43.04 eV/f.u.
D(E_F): 2.6 states/eV/cell
uncorrected formation energy: -0.67 eV/atom